Record 1
The following is a DFT calculation (PBE) of KCdRh2 after structural relaxation.

Formation energy from the elements ... 0.227 eV per atom

CIF file:
```
data_KCdRh2
_cell_length_a 2.885
_cell_length_b 3.837
_cell_length_c 8.030
_cell_angle_alpha 90.00
_cell_angle_beta 90.50
_cell_angle_gamma 90.00
_symmetry_space_group_name_H-M 'P 1'
_symmetry_Int_Tables_number 1
_symmetry_space_group_name_Hall 'P 1'
loop_
_atom_site_label
_atom_site_fract_x
_atom_site_fract_y
_atom_site_fract_z
K1 0.000 0.000 0.000
Cd1 0.503 0.500 0.649
Rh1 0.001 0.000 0.425
Rh2 0.499 0.500 0.304
```


Record 2
The following is a DFT calculation (PBE) of KCdRh2 after structural relaxation.

Formation energy from the elements ... 0.360 eV per atom

CIF file:
```
data_KCdRh2
_cell_length_a 5.005
_cell_length_b 5.005
_cell_length_c 6.465
_cell_angle_alpha 97.39
_cell_angle_beta 97.39
_cell_angle_gamma 33.46
_symmetry_space_group_name_H-M 'P 1'
_symmetry_Int_Tables_number 1
_symmetry_space_group_name_Hall 'P 1'
loop_
_atom_site_label
_atom_site_fract_x
_atom_site_fract_y
_atom_site_fract_z
K1 0.000 0.000 0.000
Cd1 0.500 0.500 0.500
Rh1 0.236 0.236 0.663
Rh2 0.764 0.764 0.337
```


Record 3
The following is a DFT calculation (PBE) of KCdRh2 after structural relaxation.

Formation energy from the elements ... 0.270 eV per atom

CIF file:
```
data_KCdRh2
_cell_length_a 4.561
_cell_length_b 4.561
_cell_length_c 7.550
_cell_angle_alpha 94.81
_cell_angle_beta 94.81
_cell_angle_gamma 36.62
_symmetry_space_group_name_H-M 'P 1'
_symmetry_Int_Tables_number 1
_symmetry_space_group_name_Hall 'P 1'
loop_
_atom_site_label
_atom_site_fract_x
_atom_site_fract_y
_atom_site_fract_z
K1 0.000 0.000 0.000
Cd1 0.771 0.771 0.358
Rh1 0.243 0.243 0.681
Rh2 0.505 0.505 0.583
```


Record 4
The following is a DFT calculation (PBE) of K2Cd4Rh after structural relaxation.

Energy above the most stable polymorph in this dataset ... 0.021 eV/atom
Formation energy from the elements ... -0.047 eV per atom

CIF file:
```
data_K2Cd4Rh
_cell_length_a 9.533
_cell_length_b 9.533
_cell_length_c 9.533
_cell_angle_alpha 147.72
_cell_angle_beta 147.72
_cell_angle_gamma 46.30
_symmetry_space_group_name_H-M 'P 1'
_symmetry_Int_Tables_number 1
_symmetry_space_group_name_Hall 'P 1'
loop_
_atom_site_label
_atom_site_fract_x
_atom_site_fract_y
_atom_site_fract_z
K1 0.145 0.145 0.000
K2 0.855 0.855 0.000
Cd1 0.000 0.500 0.500
Cd2 0.350 0.350 0.000
Cd3 0.500 0.000 0.500
Cd4 0.650 0.650 0.000
Rh1 0.500 0.500 0.000
```


no.,VASP energy (eV/atom)
1,-3.952
2,-3.819
3,-3.909
4,-1.934